La12Dy6In, relaxed, DFT PBE; total moment = 0.0 μB per formula unit; calculated formation energy = -0.019 eV per atom; ρ = 7.042 g/cm³; total energy = -4.73 eV/atom; space group = R-3, No. 148
1.0
7.918 4.572 2.993
-7.918 4.572 2.993
0.000 -9.143 2.993
La Dy In
12 6 1
Cartesian
-4.206 -0.496 3.057
-0.423 -5.571 2.981
-4.613 3.152 2.981
-5.037 -2.419 5.997
2.533 -3.395 3.057
-1.673 -3.891 5.921
1.673 3.891 3.057
-2.533 3.395 5.921
5.037 2.419 2.981
4.613 -3.152 5.997
0.423 5.571 5.997
4.206 0.496 5.921
-0.795 -1.868 3.004
-1.220 1.622 3.004
2.015 0.245 3.004
-2.015 -0.245 5.974
1.220 -1.622 5.974
0.795 1.868 5.974
0.000 0.000 0.000


La4Dy5In, relaxed, DFT PBE; total moment = 0.0 μB per formula unit; calculated formation energy = -0.079 eV per atom; ρ = 7.531 g/cm³; total energy = -4.62 eV/atom; space group = P4/mmm, No. 123
1.0
3.651 0.000 0.000
0.000 3.651 0.000
0.000 0.000 24.528
La Dy In
4 5 1
Cartesian
0.000 0.000 2.544
0.000 0.000 7.680
0.000 0.000 16.848
0.000 0.000 21.984
1.826 1.826 0.000
1.826 1.826 5.079
1.826 1.826 10.233
1.826 1.826 14.295
1.826 1.826 19.450
0.000 0.000 12.264


LaDy15In4, relaxed, DFT PBE; total moment = 0.0 μB per formula unit; calculated formation energy = -0.194 eV per atom; ρ = 8.609 g/cm³; total energy = -4.44 eV/atom; space group = P4/mmm, No. 123
1.0
4.854 0.000 0.000
0.000 4.854 0.000
0.000 0.000 24.849
La Dy In
1 15 4
Cartesian
0.000 0.000 0.000
0.000 2.427 2.690
0.000 2.427 7.569
0.000 2.427 12.425
0.000 2.427 17.280
0.000 2.427 22.159
2.427 0.000 2.690
2.427 0.000 7.569
2.427 0.000 12.425
2.427 0.000 17.280
2.427 0.000 22.159
2.427 2.427 0.000
2.427 2.427 5.160
2.427 2.427 10.000
2.427 2.427 14.849
2.427 2.427 19.689
0.000 0.000 5.161
0.000 0.000 10.006
0.000 0.000 14.843
0.000 0.000 19.688


LaDy4In2, relaxed, DFT PBE; total moment = 0.0 μB per formula unit; calculated formation energy = -0.136 eV per atom; ρ = 7.641 g/cm³; total energy = -4.25 eV/atom; space group = Fmmm, No. 69
1.0
0.000 5.398 5.999
3.418 0.000 5.999
3.418 5.398 0.000
La Dy In
1 4 2
Cartesian
0.000 0.000 0.000
1.709 2.699 2.999
3.418 3.581 5.999
3.418 7.214 5.999
5.127 8.097 8.998
3.418 5.398 3.391
3.418 5.398 8.607


La2DyIn, relaxed, DFT PBE; total moment = 0.0 μB per formula unit; calculated formation energy = -0.244 eV per atom; ρ = 7.404 g/cm³; total energy = -4.54 eV/atom; space group = Imm2, No. 44
1.0
-2.458 2.472 5.122
2.458 -2.472 5.122
2.458 2.472 -5.122
La Dy In
2 1 1
Cartesian
0.000 0.000 0.000
0.000 2.472 2.542
2.458 0.000 2.570
0.000 0.000 5.107


La2Dy3In4, relaxed, DFT PBE; total moment = 0.0 μB per formula unit; calculated formation energy = -0.335 eV per atom; ρ = 7.362 g/cm³; total energy = -4.18 eV/atom; space group = Cmce, No. 64
1.0
3.557 -8.551 0.000
3.557 8.551 0.000
0.000 0.000 9.082
La Dy In
4 6 8
Cartesian
3.557 6.702 8.370
3.557 1.849 3.829
3.557 -1.849 5.252
3.557 -6.702 0.711
0.000 0.000 4.541
1.779 3.783 6.811
1.779 -3.783 2.270
3.557 0.000 0.000
5.336 3.783 6.811
5.336 -3.783 2.270
3.557 5.464 4.893
1.779 0.709 6.811
1.779 -0.709 2.270
3.557 3.086 0.352
3.557 -3.086 8.729
5.336 0.709 6.811
5.336 -0.709 2.270
3.557 -5.464 4.188


LaDyIn2, relaxed, DFT PBE; total moment = 0.0 μB per formula unit; calculated formation energy = -0.500 eV per atom; ρ = 7.697 g/cm³; total energy = -4.25 eV/atom; space group = P4/mmm, No. 123
1.0
3.836 0.000 0.000
0.000 3.836 0.000
0.000 0.000 7.784
La Dy In
1 1 2
Cartesian
0.000 0.000 0.000
0.000 0.000 3.892
1.918 1.918 2.100
1.918 1.918 5.684


LaDyLuIn, relaxed, DFT PBE; total moment = 0.7 μB per formula unit; calculated formation energy = -0.164 eV per atom; ρ = 8.269 g/cm³; total energy = -4.36 eV/atom; space group = F-43m, No. 216
1.0
0.000 3.901 3.901
3.901 0.000 3.901
3.901 3.901 0.000
La Dy Lu In
1 1 1 1
Cartesian
0.000 0.000 0.000
3.901 3.901 3.901
1.950 1.950 1.950
5.851 5.851 5.851


LaDy2Mg2In2, relaxed, DFT PBE; total moment = 0.0 μB per formula unit; calculated formation energy = -0.253 eV per atom; ρ = 6.264 g/cm³; total energy = -3.51 eV/atom; space group = R-3m, No. 166
1.0
2.520 1.455 8.943
-2.520 1.455 8.943
0.000 -2.910 8.943
La Dy Mg In
1 2 2 2
Cartesian
0.000 0.000 0.000
0.000 0.000 3.522
0.000 0.000 23.306
0.000 0.000 11.006
0.000 0.000 15.822
0.000 0.000 6.950
0.000 0.000 19.878


LaDyInN3, relaxed, DFT PBE; energy relative to the elements, uncorrected = -0.79 eV/atom; total moment = 0.0 μB per formula unit; ρ = 6.920 g/cm³; total energy = -7.00 eV/atom; space group = P2_1/m, No. 11
1.0
6.778 0.000 0.000
0.000 3.437 0.000
-0.687 0.000 9.442
La Dy In N
2 2 2 6
Cartesian
1.102 0.859 2.264
4.988 2.577 7.178
1.694 2.577 8.405
4.396 0.859 1.037
0.719 0.859 5.573
5.371 2.577 3.869
0.235 0.859 7.693
0.998 2.577 4.266
2.600 2.577 1.202
3.491 0.859 8.240
5.093 0.859 5.176
5.855 2.577 1.749


LaDy2InN, relaxed, DFT PBE; energy relative to the elements, uncorrected = -0.92 eV/atom; total moment = 0.0 μB per formula unit; ρ = 8.174 g/cm³; total energy = -5.96 eV/atom; space group = P4/mmm, No. 123
1.0
4.873 0.000 0.000
0.000 4.873 0.000
0.000 0.000 5.070
La Dy In N
1 2 1 1
Cartesian
0.000 0.000 0.000
0.000 2.437 2.535
2.437 0.000 2.535
2.437 2.437 0.000
0.000 0.000 2.535


LaNdDyIn, relaxed, DFT PBE; total moment = 0.6 μB per formula unit; calculated formation energy = -0.161 eV per atom; ρ = 7.458 g/cm³; total energy = -4.42 eV/atom; space group = F-43m, No. 216
1.0
0.000 3.966 3.966
3.966 0.000 3.966
3.966 3.966 0.000
La Nd Dy In
1 1 1 1
Cartesian
0.000 0.000 0.000
3.966 3.966 3.966
5.949 5.949 5.949
1.983 1.983 1.983